Density functional theory data (SCAN) for Si3Hg4 at its PBEsol-relaxed geometry.

The total magnetization comes out at 0.0 Bohr magnetons per cell. Its formation energy from raw total energies is 0.550 eV per atom. The value obtained for the density is 10.4 g/cm3.

The space group is P6/mmm (No. 191) and the conventional cell measures 5.0536, 5.0536 and 6.4239 Å, with angles of 90.00, 90.00 and 120.00 degrees. Symmetry generates all atoms from Si at (0.0000, 0.5000, 0.0000), Hg at (0.0000, 0.0000, 0.2681) and Hg at (0.3333, 0.6667, 0.5000).

=====

Density functional theory data (SCAN) for BaZrRe2 at its PBEsol-relaxed geometry.

The value obtained for the energy of formation from the pure elements is 0.651 eV per atom. The total magnetization comes out at 0.0 Bohr magnetons per cell. The energy above the lowest structure with this stoichiometry comes out at 0.0448 eV per atom. The value obtained for the density is 10.6 g/cm3.

The space group is Cm (No. 8) and the conventional cell measures 9.7678, 3.2667 and 6.1013 Å, with angles of 90.00, 103.84 and 90.00 degrees. Symmetry generates all atoms from Ba at (0.0000, 0.0000, 0.0000), Zr at (0.2996, 0.5000, 0.3554), Re at (0.0283, 0.5000, 0.5325) and Re at (0.2186, 0.0000, 0.6492).

=====

Density functional theory data (SCAN) for CeMg16Al12 at its PBEsol-relaxed geometry.

The value obtained for the energy of formation from the pure elements is -0.066 eV per atom. The total magnetization comes out at 3.7 Bohr magnetons per cell. The value obtained for the density is 2.4 g/cm3.

The space group is R3m (No. 160, hexagonal axes) and the conventional cell measures 15.0094, 15.0094 and 8.9064 Å, with angles of 90.00, 90.00 and 120.00 degrees. Symmetry generates all atoms from Ce at (0.0000, 0.0000, 0.0000), Mg at (0.0000, 0.0000, 0.3752), Mg at (0.0057, 0.3067, 0.6795), Mg at (0.0653, 0.5327, 0.5900), Mg at (0.2187, 0.4374, 0.1567), Mg at (0.2215, 0.1108, 0.8760), Al at (0.0612, 0.1224, 0.6860), Al at (0.0923, 0.5461, 0.1090) and Al at (0.1523, 0.4838, 0.8554).

=====

Density functional theory data (SCAN) for NaMgBeI2 at its PBEsol-relaxed geometry.

The total magnetization comes out at 1.0 Bohr magnetons per cell. Its formation energy from raw total energies is 0.331 eV per atom. The value obtained for the density is 3.0 g/cm3.

The space group is P4/mmm (No. 123) and the conventional cell measures 5.7998, 5.7998 and 5.1500 Å, with angles of 90.00, 90.00 and 90.00 degrees. Symmetry generates all atoms from Na at (0.0000, 0.0000, 0.0000), Mg at (0.5000, 0.5000, 0.5000), Be at (0.0000, 0.0000, 0.5000) and I at (0.0000, 0.5000, 0.0000).

=====

Density functional theory data (SCAN) for TlSNF2 at its PBEsol-relaxed geometry.

The total magnetization comes out at 0.0 Bohr magnetons per cell. The energy above the lowest structure with this stoichiometry comes out at 0.0000 eV per atom. Its formation energy from raw total energies is -0.374 eV per atom. The value obtained for the density is 6.7 g/cm3.

The space group is P4/mmm (No. 123) and the conventional cell measures 4.6398, 4.6398 and 3.3261 Å, with angles of 90.00, 90.00 and 90.00 degrees. Symmetry generates all atoms from Tl at (0.0000, 0.0000, 0.0000), S at (0.5000, 0.5000, 0.5000), N at (0.5000, 0.5000, 0.0000) and F at (0.0000, 0.5000, 0.5000).

=====

Density functional theory data (SCAN) for Hg4PtBr at its PBEsol-relaxed geometry.

The total magnetization comes out at 0.0 Bohr magnetons per cell. Its formation energy from raw total energies is 0.520 eV per atom. The value obtained for the density is 13.5 g/cm3.

The space group is F-43m (No. 216) and the conventional cell measures 8.0897, 8.0897 and 8.0897 Å, with angles of 90.00, 90.00 and 90.00 degrees. Symmetry generates all atoms from Hg at (0.1247, 0.1247, 0.1247), Pt at (0.2500, 0.2500, 0.7500) and Br at (0.0000, 0.0000, 0.5000).

=====

Density functional theory data (SCAN) for ScMn6Sn6 at its PBEsol-relaxed geometry.

The value obtained for the energy of formation from the pure elements is -0.230 eV per atom. The total magnetization comes out at 13.5 Bohr magnetons per cell. The value obtained for the density is 8.4 g/cm3.

The space group is P6/mmm (No. 191) and the conventional cell measures 5.3235, 5.3235 and 8.7875 Å, with angles of 90.00, 90.00 and 120.00 degrees. Symmetry generates all atoms from Sc at (0.0000, 0.0000, 0.0000), Mn at (0.0000, 0.5000, 0.2477), Sn at (0.0000, 0.0000, 0.3275), Sn at (0.3333, 0.6667, 0.0000) and Sn at (0.3333, 0.6667, 0.5000).

=====

Density functional theory data (SCAN) for Zr2Sc at its PBEsol-relaxed geometry.

The value obtained for the energy of formation from the pure elements is 0.019 eV per atom. The total magnetization comes out at 0.0 Bohr magnetons per cell. The value obtained for the density is 5.7 g/cm3.

The space group is P6_3/mmc (No. 194) and the conventional cell measures 4.9365, 4.9365 and 6.3098 Å, with angles of 90.00, 90.00 and 120.00 degrees. Symmetry generates all atoms from Zr at (0.0000, 0.0000, 0.0000), Zr at (0.3333, 0.6667, 0.2500) and Sc at (0.3333, 0.6667, 0.7500).

=====

Number 7 is which compound?
ScMn6Sn6

=====

Number 6 is which compound?
Hg4PtBr

=====

Which value of total magnetization does entry 4 give?
1.0 Bohr magnetons per cell